First-principles (PBE) data for Tb2Ho7Sc2 after structural relaxation, as listed in the Alexandria database.

a b c (Å): 10.464 10.464 10.464
angles (deg): 160.25 66.39 117.35
Fractional positions:
Tb1 0.000 0.000 0.000
Tb2 0.695 0.195 0.500
Ho1 0.011 0.357 0.654
Ho2 0.307 0.118 0.190
Ho3 0.354 0.854 0.500
Ho4 0.437 0.576 0.861
Ho5 0.703 0.357 0.346
Ho6 0.715 0.576 0.139
Ho7 0.928 0.118 0.810
Sc1 0.167 0.859 0.307
Sc2 0.552 0.859 0.693

## Properties
**Excess energy over the best structure of this formula in the dataset**: 0.0 meV/atom
**DFT formation energy**: 167 meV per atom
**VASP energy**: -0.3483 Ry per atom